Crystalline Zn2Co17 at its relaxed geometry, computed with PBE.

```
Zn2Co17
1.0
4.017 2.319 4.077
-4.017 2.319 4.077
0.000 -4.639 4.077
Zn Co
2 17
Direct
0.156 0.156 0.156
0.844 0.844 0.844
0.000 0.500 0.500
0.150 0.150 0.655
0.150 0.655 0.150
0.197 0.500 0.803
0.197 0.803 0.500
0.345 0.850 0.850
0.404 0.404 0.404
0.500 0.000 0.500
0.500 0.197 0.803
0.500 0.500 0.000
0.500 0.803 0.197
0.596 0.596 0.596
0.655 0.150 0.150
0.803 0.197 0.500
0.803 0.500 0.197
0.850 0.345 0.850
0.850 0.850 0.345
```

**Magnetic moment**: 28.0 μB/f.u.
**ΔH_f (0 K)**: 165 meV per atom
**Calculated total energy**: -120.21 eV per cell